The following is a DFT calculation (PBE) of an optimized crystal structure of Mg3FeCl.

- Fermi-level density of states (states/eV per cell) = 6.6
- E_form (uncorrected) (eV per atom) = 0.477
- space group = Pm-3m
- raw total energy (eV/atom) = -2.542
- distance to the lowest polymorph of the same formula (eV per atom) = 0.000

Structure (CIF):
```
data_Mg3FeCl
_space_group_name_H-M_alt 'P 1'
_space_group_IT_number 1
_cell_length_a 4.8271
_cell_length_b 4.8271
_cell_length_c 4.8271
_cell_angle_alpha 90.00
_cell_angle_beta 90.00
_cell_angle_gamma 90.00
loop_
_space_group_symop_operation_xyz
'x,y,z'
loop_
_atom_site_label
_atom_site_fract_x
_atom_site_fract_y
_atom_site_fract_z
Mg1 0.0000 0.0000 0.5000
Mg2 0.0000 0.5000 0.0000
Cl1 0.0000 0.0000 0.0000
Fe1 0.5000 0.5000 0.5000
Mg3 0.5000 0.0000 0.0000
```



The following is a DFT calculation (PBE) of an optimized crystal structure of Mg2FeCl.

- Fermi-level density of states (states/eV per cell) = 3.4
- E_form (uncorrected) (eV per atom) = -0.040
- space group = Cmmm
- raw total energy (eV/atom) = -3.415
- distance to the lowest polymorph of the same formula (eV per atom) = 0.256

Structure (CIF):
```
data_Mg2FeCl
_space_group_name_H-M_alt 'P 1'
_space_group_IT_number 1
_cell_length_a 6.8657
_cell_length_b 4.9541
_cell_length_c 3.0207
_cell_angle_alpha 90.04
_cell_angle_beta 63.83
_cell_angle_gamma 123.95
loop_
_space_group_symop_operation_xyz
'x,y,z'
loop_
_atom_site_label
_atom_site_fract_x
_atom_site_fract_y
_atom_site_fract_z
Fe1 0.5000 0.5000 0.0000
Cl1 0.0000 0.5000 0.5000
Mg1 0.5000 0.0000 0.5000
Mg2 0.0000 0.0000 0.0000
```



The following is a DFT calculation (PBE) of an optimized crystal structure of MgFeCl5.

- E_form (uncorrected) (eV per atom) = -1.173
- space group = C2/c
- raw total energy (eV/atom) = -3.928

Structure (CIF):
```
data_MgFeCl5
_space_group_name_H-M_alt 'P 1'
_space_group_IT_number 1
_cell_length_a 6.9884
_cell_length_b 6.9891
_cell_length_c 9.2785
_cell_angle_alpha 109.71
_cell_angle_beta 109.72
_cell_angle_gamma 90.23
loop_
_space_group_symop_operation_xyz
'x,y,z'
loop_
_atom_site_label
_atom_site_fract_x
_atom_site_fract_y
_atom_site_fract_z
Fe1 0.1176 0.3822 0.7499
Cl1 0.7737 0.7563 0.4557
Cl2 0.7441 0.7266 0.0445
Cl3 0.1782 0.7213 0.8422
Mg1 0.5000 0.0000 0.5000
Fe2 0.8824 0.6178 0.2501
Cl4 0.2215 0.6779 0.3426
Cl5 0.5666 0.9339 0.7501
Cl6 0.2263 0.2437 0.5443
Cl7 0.4334 0.0661 0.2499
Mg2 0.5000 0.0000 0.0000
Cl8 0.7785 0.3221 0.6574
Cl9 0.8218 0.2787 0.1578
Cl10 0.2559 0.2734 0.9555
```



The following is a DFT calculation (PBE) of an optimized crystal structure of Mg4FeCl.

- Fermi-level density of states (states/eV per cell) = 7.8
- E_form (uncorrected) (eV per atom) = 0.378
- space group = F-43m
- raw total energy (eV/atom) = -2.404

Structure (CIF):
```
data_Mg4FeCl
_space_group_name_H-M_alt 'P 1'
_space_group_IT_number 1
_cell_length_a 5.7504
_cell_length_b 5.7504
_cell_length_c 5.7504
_cell_angle_alpha 60.00
_cell_angle_beta 60.00
_cell_angle_gamma 60.00
loop_
_space_group_symop_operation_xyz
'x,y,z'
loop_
_atom_site_label
_atom_site_fract_x
_atom_site_fract_y
_atom_site_fract_z
Mg1 0.3739 0.3739 0.3739
Mg2 0.3739 0.8784 0.3739
Fe1 0.0000 0.0000 0.0000
Mg3 0.8784 0.3739 0.3739
Cl1 0.7500 0.7500 0.7500
Mg4 0.3739 0.3739 0.8784
```



The following is a DFT calculation (PBE) of an optimized crystal structure of MgFeCl6.

- Fermi-level density of states (states/eV per cell) = 4.9
- E_form (uncorrected) (eV per atom) = -0.992
- space group = R-3m
- raw total energy (eV/atom) = -3.634

Structure (CIF):
```
data_MgFeCl6
_space_group_name_H-M_alt 'P 1'
_space_group_IT_number 1
_cell_length_a 6.0691
_cell_length_b 7.6674
_cell_length_c 7.6674
_cell_angle_alpha 66.70
_cell_angle_beta 74.70
_cell_angle_gamma 105.30
loop_
_space_group_symop_operation_xyz
'x,y,z'
loop_
_atom_site_label
_atom_site_fract_x
_atom_site_fract_y
_atom_site_fract_z
Cl1 0.1383 0.7527 0.0000
Fe1 0.0000 0.0000 0.0000
Cl2 0.8617 0.2473 0.0000
Cl3 0.1383 0.0000 0.2473
Cl4 0.8617 0.0000 0.7527
Mg1 0.5000 0.0000 0.0000
Cl5 0.6144 0.7527 0.2473
Cl6 0.3856 0.2473 0.7527
```



The following is a DFT calculation (PBE) of an optimized crystal structure of MgFeCl.

- Fermi-level density of states (states/eV per cell) = 0.9
- E_form (uncorrected) (eV per atom) = -0.044
- space group = Fmm2
- raw total energy (eV/atom) = -4.012
- distance to the lowest polymorph of the same formula (eV per atom) = 0.103

Structure (CIF):
```
data_MgFeCl
_space_group_name_H-M_alt 'P 1'
_space_group_IT_number 1
_cell_length_a 6.5010
_cell_length_b 6.2020
_cell_length_c 3.1019
_cell_angle_alpha 81.29
_cell_angle_beta 70.56
_cell_angle_gamma 28.14
loop_
_space_group_symop_operation_xyz
'x,y,z'
loop_
_atom_site_label
_atom_site_fract_x
_atom_site_fract_y
_atom_site_fract_z
Mg1 0.6669 0.6669 0.3331
Cl1 0.9982 0.9982 0.0018
Fe1 0.3349 0.3349 0.6651
```



The following is a DFT calculation (PBE) of an optimized crystal structure of Mg2FeCl.

- Fermi-level density of states (states/eV per cell) = 1.2
- E_form (uncorrected) (eV per atom) = 0.064
- space group = Immm
- raw total energy (eV/atom) = -3.311
- distance to the lowest polymorph of the same formula (eV per atom) = 0.361

Structure (CIF):
```
data_Mg2FeCl
_space_group_name_H-M_alt 'P 1'
_space_group_IT_number 1
_cell_length_a 5.4906
_cell_length_b 5.4906
_cell_length_c 5.4906
_cell_angle_alpha 146.53
_cell_angle_beta 117.88
_cell_angle_gamma 72.44
loop_
_space_group_symop_operation_xyz
'x,y,z'
loop_
_atom_site_label
_atom_site_fract_x
_atom_site_fract_y
_atom_site_fract_z
Fe1 0.2500 0.7500 0.5000
Mg1 0.9872 0.9872 0.0000
Cl1 0.7500 0.2500 0.5000
Mg2 0.5128 0.5128 0.0000
```



The following is a DFT calculation (PBE) of an optimized crystal structure of Mg2FeCl.

- Fermi-level density of states (states/eV per cell) = 5.2
- E_form (uncorrected) (eV per atom) = 0.300
- space group = Fm-3m
- raw total energy (eV/atom) = -3.075
- distance to the lowest polymorph of the same formula (eV per atom) = 0.597

Structure (CIF):
```
data_Mg2FeCl
_space_group_name_H-M_alt 'P 1'
_space_group_IT_number 1
_cell_length_a 4.8117
_cell_length_b 4.8117
_cell_length_c 4.8117
_cell_angle_alpha 60.00
_cell_angle_beta 60.00
_cell_angle_gamma 60.00
loop_
_space_group_symop_operation_xyz
'x,y,z'
loop_
_atom_site_label
_atom_site_fract_x
_atom_site_fract_y
_atom_site_fract_z
Mg1 0.2500 0.2500 0.2500
Fe1 0.5000 0.5000 0.5000
Mg2 0.7500 0.7500 0.7500
Cl1 0.0000 0.0000 0.0000
```



Copy entry 2 word for word.
The following is a DFT calculation (PBE) of an optimized crystal structure of Mg2FeCl.

- Fermi-level density of states (states/eV per cell) = 3.4
- E_form (uncorrected) (eV per atom) = -0.040
- space group = Cmmm
- raw total energy (eV/atom) = -3.415
- distance to the lowest polymorph of the same formula (eV per atom) = 0.256

Structure (CIF):
```
data_Mg2FeCl
_space_group_name_H-M_alt 'P 1'
_space_group_IT_number 1
_cell_length_a 6.8657
_cell_length_b 4.9541
_cell_length_c 3.0207
_cell_angle_alpha 90.04
_cell_angle_beta 63.83
_cell_angle_gamma 123.95
loop_
_space_group_symop_operation_xyz
'x,y,z'
loop_
_atom_site_label
_atom_site_fract_x
_atom_site_fract_y
_atom_site_fract_z
Fe1 0.5000 0.5000 0.0000
Cl1 0.0000 0.5000 0.5000
Mg1 0.5000 0.0000 0.5000
Mg2 0.0000 0.0000 0.0000
```